Material: Hf3NbSn
Method: DFT, PBE-GGA
State: relaxed

```
Hf3NbSn
1.0
5.680 -5.072 0.000
5.680 5.072 0.000
-3.881 0.000 7.408
Hf Nb Sn
12 4 4
Direct
0.016 0.722 0.853
0.051 0.317 0.541
0.215 0.391 0.938
0.278 0.984 0.647
0.317 0.051 0.041
0.391 0.215 0.438
0.609 0.785 0.562
0.683 0.949 0.959
0.722 0.016 0.353
0.785 0.609 0.062
0.949 0.683 0.459
0.984 0.278 0.147
0.261 0.563 0.323
0.437 0.739 0.177
0.563 0.261 0.823
0.739 0.437 0.677
0.081 0.919 0.250
0.377 0.623 0.750
0.623 0.377 0.250
0.919 0.081 0.750
```

Magnetic moment, μB/f.u.: 0.000
Crystal system: monoclinic
Calculated volume, A^3/atom: 21.3
Excess energy over the best structure of this formula in the dataset, meV/atom: 57.5
ΔE_f, meV/atom: -50

---

Material: HoIn2Sn
Method: DFT, PBE-GGA
State: relaxed

```
HoIn2Sn
1.0
4.541 0.000 0.000
0.000 4.541 0.000
0.000 0.000 4.895
Ho In Sn
1 2 1
Direct
0.000 0.000 0.000
0.000 0.500 0.500
0.500 0.000 0.500
0.500 0.500 0.000
```

Magnetic moment, μB/f.u.: 0.000
Crystal system: tetragonal
Calculated volume, A^3/atom: 25.2
Excess energy over the best structure of this formula in the dataset, meV/atom: 0.0
ΔE_f, meV/atom: -405

---

Material: RbSrCaHf2
Method: DFT, PBE-GGA
State: relaxed

```
RbSrCaHf2
1.0
5.597 0.000 0.000
0.000 5.597 0.000
0.000 0.000 6.052
Rb Sr Ca Hf
1 1 1 2
Direct
0.000 0.000 0.000
0.000 0.000 0.500
0.500 0.500 0.000
0.000 0.500 0.500
0.500 0.000 0.500
```

Magnetic moment, μB/f.u.: 0.599
Crystal system: tetragonal
Calculated volume, A^3/atom: 37.9
ΔE_f, meV/atom: 1625

---

Material: NaSrAs2Pb
Method: DFT, PBE-GGA
State: relaxed

```
NaSrAs2Pb
1.0
8.266 -2.321 0.000
8.266 2.321 0.000
-7.402 0.000 8.534
Na Sr As Pb
2 2 4 2
Direct
0.145 0.145 0.408
0.855 0.855 0.592
0.278 0.278 0.860
0.722 0.722 0.140
0.091 0.091 0.878
0.319 0.319 0.391
0.681 0.681 0.609
0.909 0.909 0.122
0.457 0.457 0.312
0.543 0.543 0.688
```

Magnetic moment, μB/f.u.: 0.000
Crystal system: monoclinic
Calculated volume, A^3/atom: 32.7
ΔE_f, meV/atom: -486

---

Material: LiTmSiAg
Method: DFT, PBE-GGA
State: relaxed

```
LiTmSiAg
1.0
0.000 3.357 3.357
3.357 0.000 3.357
3.357 3.357 0.000
Li Tm Si Ag
1 1 1 1
Direct
0.000 0.000 0.000
0.500 0.500 0.500
0.250 0.250 0.250
0.750 0.750 0.750
```

Magnetic moment, μB/f.u.: 0.000
Crystal system: cubic
Calculated volume, A^3/atom: 18.9
Formation energy (no corrections), eV/atom: -0.345

---

Material: RbTcBW2
Method: DFT, PBE-GGA
State: relaxed

```
RbTcBW2
1.0
4.732 0.000 0.000
0.000 4.732 0.000
0.000 0.000 4.553
Rb Tc B W
1 1 1 2
Direct
0.000 0.000 0.000
0.000 0.000 0.500
0.500 0.500 0.500
0.000 0.500 0.000
0.500 0.000 0.000
```

Magnetic moment, μB/f.u.: 0.000
Crystal system: tetragonal
Calculated volume, A^3/atom: 20.4
ΔE_f, meV/atom: 4617